one | Entry from Alexandria: ZrCuMo after structural relaxation (PBE).

Output
The symmetry is Fmm2, No. 42. The calculated volume is 16.593 Å³ per atom.

Cell: 6.736 6.683 2.792 Å, 79.05 76.94 24.01°
Positions (direct):
Cu 0.993 0.993 0.007
Mo 0.346 0.346 0.654
Zr 0.660 0.660 0.340

---

two | Entry from Alexandria: ZrCuMo after structural relaxation (PBE).

Output
The symmetry is F-43m, No. 216. The calculated volume is 18.684 Å³ per atom.

Cell: 4.296 4.296 4.296 Å, 60.00 60.00 60.00°
Positions (direct):
Cu 0.750 0.750 0.750
Mo 0.000 0.000 0.000
Zr 0.500 0.500 0.500

---

Stability comparison, relative energies in eV/atom: one 0.000; two 0.398

---

one | Entry from Alexandria: ZrCuMo after structural relaxation (PBE).

Output
The symmetry is R-3m, No. 166. The calculated volume is 17.020 Å³ per atom.

Cell: 5.212 5.212 13.364 Å, 78.75 78.75 60.00°
Positions (direct):
Zr 0.737 0.737 0.788
Zr 0.263 0.263 0.212
Zr 0.043 0.043 0.872
Zr 0.957 0.957 0.128
Zr 0.180 0.180 0.460
Zr 0.820 0.820 0.540
Cu 0.212 0.725 0.338
Cu 0.725 0.212 0.338
Cu 0.725 0.725 0.338
Cu 0.788 0.275 0.662
Cu 0.275 0.788 0.662
Cu 0.275 0.275 0.662
Mo 0.392 0.392 0.823
Mo 0.608 0.608 0.177
Mo 0.000 0.500 0.000
Mo 0.500 0.000 0.000
Mo 0.500 0.500 0.000
Mo 0.500 0.500 0.500

---

two | Entry from Alexandria: ZrCuMo after structural relaxation (PBE).

Output
The symmetry is P3m1, No. 156. The calculated volume is 16.854 Å³ per atom.

Cell: 4.716 4.716 2.625 Å, 90.00 90.00 120.00°
Positions (direct):
Cu 0.000 0.000 0.038
Mo 0.667 0.333 0.282
Zr 0.333 0.667 0.680

---

three | Entry from Alexandria: ZrCuMo after structural relaxation (PBE).

Output
The symmetry is F-43m, No. 216. The calculated volume is 20.560 Å³ per atom.

Cell: 4.435 4.435 4.435 Å, 60.00 60.00 60.00°
Positions (direct):
Cu 0.000 0.000 0.000
Mo 0.500 0.500 0.500
Zr 0.750 0.750 0.750

---

Stability comparison, relative energies in eV/atom: one 0.000; two 0.329; three 1.247